# 1
{
  "formula": "VFe2N3",
  "functional": "PBE",
  "state": "relaxed",
  "cell": [[2.6262, -4.6017, 0.0000], [2.6262, 4.6017, 0.0000], [0.0000, 0.0000, 4.9211]],
  "species": ["V", "V", "Fe", "Fe", "Fe", "Fe", "N", "N", "N", "N", "N", "N"],
  "fractional_positions": [[0.6798, 0.6798, 0.9766], [0.3202, 0.3202, 0.4766], [0.9914, 0.2970, 0.9998], [0.2970, 0.9914, 0.9998], [0.0086, 0.7030, 0.4998], [0.7030, 0.0086, 0.4998], [0.0001, 0.3649, 0.3672], [0.3649, 0.0001, 0.3672], [0.9999, 0.6351, 0.8672], [0.6351, 0.9999, 0.8672], [0.6718, 0.6718, 0.3614], [0.3282, 0.3282, 0.8614]],
  "magmom_total_mub_per_fu": 0.00,
  "formation_energy_uncorrected_ev_per_atom": -0.27
}



# 2
{
  "formula": "AcTbEuPb",
  "functional": "PBE",
  "state": "relaxed",
  "cell": [[5.7443, 0.0000, 0.0000], [2.8721, 4.9747, 0.0000], [2.8721, 1.6582, 4.6902]],
  "species": ["Pb", "Eu", "Ac", "Tb"],
  "fractional_positions": [[0.5000, 0.5000, 0.5000], [0.2500, 0.2500, 0.2500], [0.0000, 0.0000, 0.0000], [0.7500, 0.7500, 0.7500]],
  "magmom_total_mub_per_fu": 8.36,
  "delta_e_f_ev_per_atom": -0.070
}